Record 1
A plane-wave DFT calculation with PBE was carried out for an optimized crystal structure of Tb3NdSm6Dy2.

## Properties
Energy relative to the elements, eV/f.u.: 0.16
Crystal system: monoclinic

Unit cell a=6.2401 b=10.8037 c=11.9283 alpha=90.00 beta=100.03 gamma=90.00
Space group C2/m (No. 12)
One atom of each set of equivalent atoms:
Tb (0.0000, 0.0000, 0.0000) [2 per cell]
Tb (0.0000, 0.3331, 0.0000) [4 per cell]
Nd (0.0000, 0.5000, 0.5000) [2 per cell]
Sm (0.2488, 0.1670, 0.2491) [8 per cell]
Sm (0.2501, 0.0000, 0.7508) [4 per cell]
Dy (0.0000, 0.1666, 0.5000) [4 per cell]



Record 2
A plane-wave DFT calculation with PBE was carried out for an optimized crystal structure of TbNd4Sm2Dy2.

## Properties
Energy relative to the elements, eV/f.u.: 0.16
Crystal system: monoclinic

Unit cell a=15.3993 b=5.1320 c=8.0904 alpha=90.00 beta=108.54 gamma=90.00
Space group C2/m (No. 12)
One atom of each set of equivalent atoms:
Tb (0.0000, 0.0000, 0.0000) [2 per cell]
Nd (0.0547, 0.5000, 0.3310) [4 per cell]
Nd (0.2222, 0.0000, 0.3310) [4 per cell]
Sm (0.1115, 0.0000, 0.6693) [4 per cell]
Dy (0.1670, 0.5000, 0.9998) [4 per cell]